# CaBe2Pt2

CaBe2Pt2 at its PBEsol-relaxed geometry (meta-GGA SCAN, Alexandria).

Lattice parameters (Å, degrees): 3.9172 3.9172 5.7277 110.00 110.00 90.00
Positions (direct):
Be (0.2500, 0.7500, 0.5000)
Be (0.7500, 0.2500, 0.5000)
Pt (0.6334, 0.6334, 0.2668)
Pt (0.3666, 0.3666, 0.7332)
Ca (0.0000, 0.0000, 0.0000)

Results
DFT total energy = -1.1999 hartree per atom
Symmetry = No. 139
Magnetization = 0.00 μB/cell
Excess energy over the best structure of this formula in the dataset = 0.000 eV per formula unit
V = 15.4 Å³/atom
Energy of formation from the pure elements = -0.90 eV/atom



# Li2CaAs

Li2CaAs at its PBEsol-relaxed geometry (meta-GGA SCAN, Alexandria).

Lattice parameters (Å, degrees): 3.6687 3.6687 6.1960 90.00 90.00 90.05
Positions (direct):
Li (0.0000, 0.0000, 0.6895)
Li (0.0000, 0.0000, 0.3105)
As (0.5000, 0.5000, 0.5000)
Ca (0.5000, 0.5000, 0.0000)

Results
DFT total energy = -0.3315 hartree per atom
Symmetry = No. 123
Magnetization = 0.38 μB/cell
V = 20.8 Å³/atom
Energy of formation from the pure elements = -0.36 eV/atom



# AsRuPt2

AsRuPt2 at its PBEsol-relaxed geometry (meta-GGA SCAN, Alexandria).

Lattice parameters (Å, degrees): 2.8602 2.8602 7.1845 90.00 90.00 90.00
Positions (direct):
As (0.5000, 0.5000, 0.7324)
Ru (0.0000, 0.0000, 0.5183)
Pt (0.5000, 0.5000, 0.2613)
Pt (0.0000, 0.0000, 0.9879)

Results
DFT total energy = -1.7929 hartree per atom
Symmetry = No. 99
Magnetization = 0.00 μB/cell
V = 14.7 Å³/atom
Energy of formation from the pure elements = 0.06 eV/atom